Computed, not measured: OsPbAu2 after structural relaxation at the GGA-PBE level of DFT.

Properties
Final energy = -4.817 eV per atom
Symmetry = No. 44
Mass density = 15.21 Mg/m³

extended XYZ file:
```
4
Lattice="7.040 0.840 -0.122 4.372 5.582 0.122 -5.044 -4.388 2.365" Properties=species:S:1:pos:R:3 pbc="T T T"
Au 11.202 6.303 0.000
Os 5.738 3.229 0.000
Au 3.324 2.656 1.244
Pb 3.223 -0.522 1.121
```

---

Computed, not measured: ZrTlSb2 after structural relaxation at the GGA-PBE level of DFT.

Properties
ΔE to the lowest computed polymorph = 0.13 eV/f.u.
Raw formation energy = -0.25 eV/atom
Symmetry = No. 160
Mass density = 7.69 Mg/m³

extended XYZ file:
```
4
Lattice="-0.886 2.114 -3.127 -2.555 -1.345 -2.588 -7.796 4.170 2.624" Properties=species:S:1:pos:R:3 pbc="T T T"
Tl -5.609 2.464 -1.552
Sb -6.385 3.339 1.662
Sb -2.571 1.094 -0.936
Zr -10.087 4.681 -1.189
```

---

Computed, not measured: TaAl2Pt after structural relaxation at the GGA-PBE level of DFT.

Properties
Final energy = -6.769 eV per atom
Symmetry = No. 65
Mass density = 11.09 Mg/m³

extended XYZ file:
```
4
Lattice="-0.094 0.195 -4.898 4.201 -2.135 1.353 -1.256 -2.521 -0.077" Properties=species:S:1:pos:R:3 pbc="T T T"
Pt -0.675 -1.163 -2.487
Al 2.054 -0.970 -1.773
Al 0.000 0.000 0.000
Ta 1.473 -2.328 0.638
```

---

Computed, not measured: PmTm2SnC after structural relaxation at the GGA-PBE level of DFT.

Properties
Final energy = -5.983 eV per atom
Symmetry = No. 123
Mass density = 8.66 Mg/m³

extended XYZ file:
```
5
Lattice="5.053 0.000 0.000 0.000 4.825 0.000 0.000 0.000 4.825" Properties=species:S:1:pos:R:3 pbc="T T T"
C 0.000 0.000 0.000
Tm 0.000 0.000 2.412
Sn 2.526 2.412 2.412
Pm 2.526 0.000 0.000
Tm 0.000 2.412 0.000
```

---

Computed, not measured: Ba2AlZn after structural relaxation at the GGA-PBE level of DFT.

Properties
Final energy = -2.175 eV per atom
Symmetry = No. 99
Mass density = 4.23 Mg/m³

extended XYZ file:
```
4
Lattice="3.878 0.048 0.000 -0.048 3.878 0.000 0.000 0.000 9.574" Properties=species:S:1:pos:R:3 pbc="T T T"
Al 1.915 1.963 6.533
Ba 1.915 1.963 3.147
Ba 0.000 0.000 8.854
Zn 0.000 0.000 5.401
```

---

Computed, not measured: Mn2Co2As after structural relaxation at the GGA-PBE level of DFT.

Properties
Final energy = -7.100 eV per atom
Symmetry = No. 139
Mass density = 8.20 Mg/m³

extended XYZ file:
```
5
Lattice="2.968 -4.507 3.882 4.240 -0.450 5.100 -5.297 2.584 -3.073" Properties=species:S:1:pos:R:3 pbc="T T T"
As 0.000 0.000 0.000
Mn 0.637 -2.200 2.650
Mn 1.273 -0.172 3.259
Co 2.893 -1.989 3.605
Co 4.315 -2.967 5.377
```

---

Computed, not measured: ErAl2Au3 after structural relaxation at the GGA-PBE level of DFT.

Properties
ΔE to the lowest computed polymorph = 0.10 eV/f.u.
Symmetry = No. 63
Mass density = 11.49 Mg/m³

extended XYZ file:
```
12
Lattice="-5.307 -0.259 1.897 1.879 -4.153 4.691 0.708 5.877 2.784" Properties=species:S:1:pos:R:3 pbc="T T T"
Al 1.627 -1.994 4.280
Au 1.224 1.635 7.845
Au -3.944 -0.171 1.526
Al 0.960 3.718 3.194
Au -3.015 -1.179 3.988
Al -1.694 3.588 4.143
Au 0.648 -0.377 5.958
Au -3.368 1.841 3.413
Er -2.295 0.928 6.292
Er -0.425 0.536 3.079
Au 0.295 2.643 5.384
Al -1.026 -2.124 5.229
```

---

Computed, not measured: ScIrSe2 after structural relaxation at the GGA-PBE level of DFT.

Properties
ΔE to the lowest computed polymorph = 0.00 eV/f.u.
Raw formation energy = -0.90 eV/atom
Symmetry = No. 71
Mass density = 6.47 Mg/m³

extended XYZ file:
```
4
Lattice="-4.865 -2.975 4.155 0.354 -4.772 5.185 2.310 6.021 -2.863" Properties=species:S:1:pos:R:3 pbc="T T T"
Sc 0.204 -1.312 3.496
Ir -2.405 -0.414 2.981
Se -3.987 -6.846 8.254
Se -2.780 -4.774 5.756
```

---

Computed, not measured: Hf6NbCo2 after structural relaxation at the GGA-PBE level of DFT.

Properties
Final energy = -9.496 eV per atom
Symmetry = No. 71
Mass density = 12.34 Mg/m³

extended XYZ file:
```
18
Lattice="7.038 0.493 -2.990 -3.903 6.366 -1.722 -0.039 -0.493 7.647" Properties=species:S:1:pos:R:3 pbc="T T T"
Hf -2.392 5.071 0.567
Hf 2.695 1.295 0.510
Co 2.973 0.784 3.120
Hf 3.701 2.405 -2.428
Hf 0.401 5.071 2.425
Hf -2.398 5.912 3.605
Hf 5.488 1.295 2.368
Co 2.031 4.443 -3.052
Hf -0.272 2.744 0.408
Co 0.123 5.582 -0.184
Hf 2.325 4.454 -0.361
Hf -0.605 3.961 5.363
Hf 3.368 3.621 2.527
Hf 5.494 0.453 -0.669
Hf 0.771 1.912 3.296
Nb 0.000 0.000 0.000
Nb -1.971 2.937 2.963
Co 1.104 2.415 -1.659
```

---

Computed, not measured: SrTm4Sn4 after structural relaxation at the GGA-PBE level of DFT.

Properties
Final energy = -4.433 eV per atom
Symmetry = No. 86
Mass density = 6.74 Mg/m³

extended XYZ file:
```
18
Lattice="-0.784 5.868 1.231 -7.284 0.474 -6.895 -6.788 -2.377 7.008" Properties=species:S:1:pos:R:3 pbc="T T T"
Tm -5.237 -0.786 3.531
Sn -10.674 0.804 1.629
Tm -11.208 2.463 -0.910
Sn -3.382 -0.154 1.172
Tm -11.076 3.483 2.925
Tm -3.813 2.733 2.512
Sr 0.000 0.000 0.000
Tm -8.979 0.391 4.148
Sn -8.672 3.515 4.829
Tm -5.713 2.341 -3.063
Sr -7.428 1.982 0.672
Sn -8.665 3.031 -2.523
Sn -4.046 2.136 -0.500
Tm -9.000 0.115 -3.160
Sn -6.831 5.292 -2.469
Tm -4.399 5.116 -0.610
Sn -6.328 1.957 4.081
Sn -10.827 -0.725 -0.845
```

---

Computed, not measured: PmSmDy6 after structural relaxation at the GGA-PBE level of DFT.

Properties
ΔE to the lowest computed polymorph = 0.00 eV/f.u.
Symmetry = No. 123
Mass density = 8.23 Mg/m³

extended XYZ file:
```
8
Lattice="5.042 0.000 0.000 0.000 5.042 0.000 0.000 0.000 10.081" Properties=species:S:1:pos:R:3 pbc="T T T"
Dy 2.521 0.000 7.565
Dy 2.521 2.521 5.041
Sm 0.000 0.000 0.000
Dy 2.521 2.521 0.000
Dy 0.000 2.521 7.565
Dy 2.521 0.000 2.516
Dy 0.000 2.521 2.516
Pm 0.000 0.000 5.041
```

---

Computed, not measured: NpIn2Cl4 after structural relaxation at the GGA-PBE level of DFT.

Properties
Raw formation energy = -0.98 eV/atom
Symmetry = No. 139
Mass density = 4.17 Mg/m³

extended XYZ file:
```
7
Lattice="5.487 0.000 0.000 0.000 5.487 0.000 2.743 2.743 8.050" Properties=species:S:1:pos:R:3 pbc="T T T"
Cl 5.487 5.487 2.771
Cl 0.000 2.743 0.000
Np 0.000 0.000 0.000
Cl 2.743 0.000 0.000
In 2.743 2.743 2.363
In 5.487 5.487 5.687
Cl 2.743 2.743 5.280
```

---

Computed, not measured: LaTa5 after structural relaxation at the GGA-PBE level of DFT.

Properties
ΔE to the lowest computed polymorph = 0.00 eV/f.u.
Symmetry = No. 191
Mass density = 12.74 Mg/m³

extended XYZ file:
```
6
Lattice="-5.269 0.506 -2.762 3.231 -4.982 -0.622 -2.009 -1.741 3.513" Properties=species:S:1:pos:R:3 pbc="T T T"
Ta -2.436 -1.324 -2.049
La 0.000 0.000 0.000
Ta 0.398 -3.153 -1.336
Ta -2.023 -3.109 0.064
Ta 0.611 -3.362 1.445
Ta -3.639 -0.618 0.375
```

---

Computed, not measured: BaSiAg3 after structural relaxation at the GGA-PBE level of DFT.

Properties
ΔE to the lowest computed polymorph = 0.00 eV/f.u.
Raw formation energy = -0.19 eV/atom
Symmetry = No. 42
Mass density = 6.82 Mg/m³

extended XYZ file:
```
5
Lattice="4.392 0.185 -1.932 -1.041 4.269 -1.937 0.093 0.131 6.180" Properties=species:S:1:pos:R:3 pbc="T T T"
Si 0.019 0.022 0.042
Ba 1.263 1.685 3.033
Ag -0.185 2.581 -0.159
Ag 2.534 0.543 -0.160
Ag 2.578 3.432 0.234
```

---

Computed, not measured: K4BrCl3 after structural relaxation at the GGA-PBE level of DFT.

Properties
Raw formation energy = -1.90 eV/atom
Symmetry = No. 65
Mass density = 2.11 Mg/m³

extended XYZ file:
```
8
Lattice="4.537 0.000 0.000 0.000 7.923 -0.053 0.000 -2.549 7.502" Properties=species:S:1:pos:R:3 pbc="T T T"
K 0.000 3.976 5.511
Cl 0.000 3.962 -0.027
Cl 2.269 2.687 3.724
Br 2.269 0.000 0.000
K 0.000 1.398 1.938
K 2.269 5.259 1.869
K 2.269 0.115 5.580
Cl 0.000 -1.274 3.751
```

---

Computed, not measured: TmCd2Cu9 after structural relaxation at the GGA-PBE level of DFT.

Properties
Final energy = -3.706 eV per atom
Symmetry = No. 166
Mass density = 9.05 Mg/m³

extended XYZ file:
```
12
Lattice="-2.717 1.441 4.002 -2.981 -3.323 2.355 4.178 -2.642 6.971" Properties=species:S:1:pos:R:3 pbc="T T T"
Cu -1.321 -1.444 4.387
Cu -2.821 -3.116 5.572
Cu -2.688 -0.719 6.401
Cu 2.278 -3.269 9.088
Tm 0.000 0.000 0.000
Cu 1.168 -3.805 6.927
Cu -0.199 -3.080 8.941
Cu -0.760 -2.262 6.664
Cd 1.568 -1.777 4.887
Cu 1.301 -1.408 7.756
Cu -3.797 -1.255 4.239
Cd -3.088 -2.747 8.440
```

---

Computed, not measured: Rb2PrCl4 after structural relaxation at the GGA-PBE level of DFT.

Properties
Raw formation energy = -1.88 eV/atom
Symmetry = No. 139
Mass density = 2.87 Mg/m³

extended XYZ file:
```
7
Lattice="5.583 0.000 0.000 0.000 5.583 0.000 -2.792 -2.792 8.435" Properties=species:S:1:pos:R:3 pbc="T T T"
Cl 0.000 0.000 2.830
Pr 0.000 0.000 0.000
Rb 2.792 2.792 2.370
Cl 0.000 2.792 0.000
Rb 0.000 0.000 6.064
Cl 2.792 0.000 0.000
Cl 2.792 2.792 5.605
```

---

Computed, not measured: Na2CuAsC after structural relaxation at the GGA-PBE level of DFT.

Properties
Final energy = -3.376 eV per atom
Symmetry = No. 123
Mass density = 3.23 Mg/m³

extended XYZ file:
```
5
Lattice="-0.100 4.619 2.053 -3.677 0.526 -1.361 -1.862 -1.942 4.281" Properties=species:S:1:pos:R:3 pbc="T T T"
Na -0.931 -0.971 2.140
Cu -2.819 1.601 2.486
Na -0.050 2.310 1.026
C 0.000 0.000 0.000
As -1.839 0.263 -0.680
```

---

Computed, not measured: LiNpCd2O6 after structural relaxation at the GGA-PBE level of DFT.

Properties
Raw formation energy = -1.85 eV/atom
Symmetry = No. 146
Mass density = 6.95 Mg/m³

extended XYZ file:
```
10
Lattice="5.609 0.000 0.001 2.805 4.858 0.000 2.805 1.619 4.952" Properties=species:S:1:pos:R:3 pbc="T T T"
O 7.752 3.189 1.265
O 4.495 1.407 1.265
O 4.580 5.119 1.265
O 6.256 1.756 3.854
O 6.571 4.540 3.854
Np 2.805 1.619 0.155
Li 8.414 4.858 2.886
Cd 5.609 3.238 1.933
O 4.003 3.421 3.854
Cd 2.805 1.620 4.509
```

---

Computed, not measured: Cu2H6PdPt after structural relaxation at the GGA-PBE level of DFT.

Properties
Final energy = -3.904 eV per atom
Symmetry = No. 1
Mass density = 8.63 Mg/m³

extended XYZ file:
```
10
Lattice="5.209 -0.089 -0.325 -2.678 3.816 -0.189 -2.914 -1.525 4.589" Properties=species:S:1:pos:R:3 pbc="T T T"
H -0.631 1.390 0.631
H -1.913 2.072 3.017
H 2.254 2.702 0.514
H 2.872 -0.532 2.577
Pd 1.839 0.939 2.189
H 1.705 0.099 0.571
Cu -0.185 -0.397 4.143
H 0.083 0.891 2.908
Pt 2.322 -1.506 3.987
Cu 0.499 2.720 0.688
```

---

Number 1: spin magnetization 0.00 μB per formula unit. Number 2: spin magnetization 0.00 μB per formula unit. Number 3: spin magnetization 0.00 μB per formula unit. Number 4: spin magnetization 0.00 μB per formula unit. Number 5: spin magnetization 0.00 μB per formula unit. Number 6: spin magnetization 0.38 μB per formula unit. Number 7: spin magnetization 0.00 μB per formula unit. Number 8: spin magnetization 0.00 μB per formula unit. Number 9: spin magnetization 0.00 μB per formula unit. Number 10: spin magnetization 0.00 μB per formula unit. Number 11: spin magnetization 0.00 μB per formula unit. Number 12: spin magnetization 4.94 μB per formula unit. Number 13: spin magnetization 0.00 μB per formula unit. Number 14: spin magnetization 0.00 μB per formula unit. Number 15: spin magnetization 0.01 μB per formula unit. Number 16: spin magnetization 0.00 μB per formula unit. Number 17: spin magnetization 0.45 μB per formula unit. Number 18: spin magnetization 0.00 μB per formula unit. Number 19: spin magnetization 0.00 μB per formula unit. Number 20: spin magnetization 0.00 μB per formula unit.